{
  "formula": "LiCuNi2P",
  "functional": "GGA-PBE",
  "state": "optimized geometry",
  "lattice": [[-2.1621, 3.5162, -0.6588], [-3.4786, -2.3338, -1.0397], [-1.2032, 0.0101, 4.0031]],
  "species": ["Ni", "Ni", "Li", "Cu", "P"],
  "fractional_positions": [[0.0000, 0.0000, 0.5000], [0.5000, 0.0000, 0.0000], [0.5000, 0.5000, 0.5000], [0.0000, 0.5000, 0.0000], [0.0000, 0.0000, 0.0000]],
  "spacegroup": "No. 123",
  "energy_ev_per_cell": -23.31,
  "m_tot_mub_per_cell": 0.00
}